# 1
The following is a GGA-PBE calculation of Tl8InSe6 after structural relaxation, from Alexandria.

Values from the calculation:
**Formation energy (no corrections)**: -348 meV per atom
**SG**: Pmn2_1, No. 31
**Spin magnetization**: 0.0 μB/f.u.

POSCAR file:
```
Tl8InSe6
1.0
-3.8076 -7.8943 -4.2526
1.5794 -4.8763 7.6379
-10.3314 2.8514 3.9569
Tl In Se
16 2 12
direct
0.2778 0.0000 0.9499
0.7222 0.5000 0.4499
0.9360 0.7760 0.1558
0.0640 0.7240 0.6558
0.0640 0.2760 0.6558
0.9360 0.2240 0.1558
0.4479 0.7284 0.6684
0.5521 0.7716 0.1684
0.5521 0.2284 0.1684
0.4479 0.2716 0.6684
0.7928 0.7975 0.8708
0.2072 0.7025 0.3708
0.2072 0.2975 0.3708
0.7928 0.2025 0.8708
0.2695 0.0000 0.5267
0.7305 0.5000 0.0267
0.7534 0.0000 0.4728
0.2466 0.5000 0.9728
0.5719 0.0000 0.9703
0.4281 0.5000 0.4703
0.0316 0.0000 0.8070
0.9684 0.5000 0.3070
0.9822 0.0000 0.3507
0.0178 0.5000 0.8507
0.5178 0.0000 0.3571
0.4822 0.5000 0.8571
0.2441 0.7384 0.1058
0.7559 0.7616 0.6058
0.7559 0.2384 0.6058
0.2441 0.2616 0.1058
```



# 2
The following is a GGA-PBE calculation of TlInSe after structural relaxation, from Alexandria.

Values from the calculation:
**Formation energy (no corrections)**: -342 meV per atom
**Offset from the most stable computed form**: 0 meV per atom
**SG**: P-1, No. 2
**Spin magnetization**: 0.0 μB/f.u.

POSCAR file:
```
TlInSe
1.0
4.3301 0.0004 -0.0030
-0.0018 7.8220 0.3889
2.1617 3.4374 5.7411
Tl In Se
2 2 2
direct
0.0998 0.4203 0.8005
0.9002 0.5797 0.1995
0.6042 0.9531 0.7923
0.3958 0.0469 0.2077
0.7575 0.7786 0.4848
0.2425 0.2214 0.5152
```



# 3
The following is a GGA-PBE calculation of TlIn2Se3 after structural relaxation, from Alexandria.

Values from the calculation:
**Formation energy (no corrections)**: -429 meV per atom
**SG**: C2/m, No. 12
**Spin magnetization**: 0.0 μB/f.u.

POSCAR file:
```
TlIn2Se3
1.0
4.8713 0.0000 0.0000
0.0000 7.3073 -0.6590
-2.4356 -2.6394 11.8191
Tl In Se
2 4 6
direct
0.3591 0.1343 0.7182
0.6409 0.8657 0.2818
0.3011 0.6247 0.6022
0.6989 0.3753 0.3978
0.9445 0.7734 0.8889
0.0555 0.2266 0.1111
0.2254 0.2571 0.4508
0.0600 0.8688 0.1201
0.4090 0.5952 0.8180
0.7746 0.7429 0.5492
0.5910 0.4048 0.1820
0.9400 0.1312 0.8799
```



# 4
The following is a GGA-PBE calculation of Tm2Tl3InSe6 after structural relaxation, from Alexandria.

Values from the calculation:
**Formation energy (no corrections)**: -1061 meV per atom
**SG**: C2/m, No. 12
**Spin magnetization**: 0.0 μB/f.u.

POSCAR file:
```
Tm2Tl3InSe6
1.0
7.1435 0.0013 -0.0013
-3.5688 6.1881 -0.0013
-1.1934 -2.0664 7.7857
Tm Tl In Se
2 3 1 6
direct
0.3337 0.6663 0.0000
0.6663 0.3337 0.0000
0.1694 0.8306 0.5000
0.8306 0.1694 0.5000
0.5000 0.5000 0.5000
0.0000 0.0000 0.0000
0.9333 0.6039 0.8000
0.7374 0.7374 0.2032
0.0667 0.3961 0.2000
0.6039 0.9333 0.8000
0.2626 0.2626 0.7968
0.3961 0.0667 0.2000
```